! In6HgPb5 (PBE-GGA, optimized geometry); values from VASP
! Electronic total energy ... -2.93 eV per atom
! ρ ... 9.19 g cm⁻³
! DFT formation energy ... 14 meV/atom
! Crystal system ... monoclinic
&SYSTEM
  ibrav = 0, nat = 12, ntyp = 3
/
ATOMIC_SPECIES
Pb 207.20 Pb.upf
In 114.82 In.upf
Hg 200.59 Hg.upf
ATOMIC_POSITIONS crystal
Pb 0.0000 0.3348 0.6652
Pb 0.5000 0.5000 0.5000
Pb 0.5000 0.8297 0.1703
Pb 0.0000 0.6652 0.3348
Pb 0.5000 0.1703 0.8297
In 0.7575 0.5956 0.9187
In 0.7575 0.9187 0.5956
In 0.7432 0.2408 0.2408
In 0.2425 0.0813 0.4044
In 0.2425 0.4044 0.0813
In 0.2568 0.7592 0.7592
Hg 0.0000 0.0000 0.0000
CELL_PARAMETERS angstrom
4.9290 0.0030 -1.3770
-3.4734 7.8306 -2.9710
-0.1060 -0.0534 9.0662